No. 1
Computed, not measured: a relaxed LiNpPb2S5 crystal at the PBE-GGA level of DFT.

Properties
The calculation puts the total DFT energy (no corrections) at -202.76 eV per cell. The total magnetization comes out at 2.00 μB per formula unit.

a = 4.011 Å, b = 17.173 Å, c = 13.048 Å
α = 90.00°, β = 90.00°, γ = 90.00°
Space group Cmc2_1 (No. 36)
Asymmetric unit:
1 Li 0.000 0.064 0.000
2 Np 0.000 0.279 0.576
3 Pb 0.000 0.392 0.838
4 Pb 0.000 0.410 0.199
5 S 0.000 0.005 0.831
6 S 0.000 0.130 0.547
7 S 0.000 0.205 0.950
8 S 0.000 0.237 0.209
9 S 0.000 0.426 0.610

=====

No. 2
Computed, not measured: a relaxed LiNpPbS3 crystal at the PBE-GGA level of DFT.

Properties
The calculation puts the total DFT energy (no corrections) at -74.16 eV per cell. The total magnetization comes out at 4.00 μB per formula unit.

a = 8.344 Å, b = 4.029 Å, c = 8.576 Å
α = 90.00°, β = 101.99°, γ = 90.00°
Space group P2_1/m (No. 11)
Asymmetric unit:
1 Li 0.084 0.250 0.083
2 Np 0.331 0.750 0.336
3 Pb 0.192 0.250 0.732
4 S 0.116 0.250 0.368
5 S 0.210 0.750 0.011
6 S 0.443 0.750 0.663

=====

> Number 1 is which compound?

LiNpPb2S5